[1]
A plane-wave DFT calculation with PBE-GGA was carried out for a geometry-optimized Y2Ag2TeSe3 structure.

a b c (Å): 6.867 6.867 4.405
angles (deg): 90.68 90.68 87.61
Element x y z (fractional)
1 Se 0.201 0.799 0.723
2 Se 0.799 0.201 0.723
3 Se 0.297 0.297 0.278
4 Y 0.487 0.487 0.801
5 Y 0.010 0.010 0.206
6 Te 0.705 0.705 0.305
7 Ag 0.502 0.000 0.982
8 Ag 0.000 0.502 0.982

Results
space-group type: No. 8

[2]
A plane-wave DFT calculation with PBE-GGA was carried out for a geometry-optimized ThTlAgSe3 structure.

a b c (Å): 7.563 7.563 11.044
angles (deg): 90.00 90.00 146.99
Element x y z (fractional)
1 Tl 0.750 0.250 0.750
2 Tl 0.250 0.750 0.250
3 Se 0.633 0.367 0.453
4 Se 0.633 0.367 0.047
5 Se 0.367 0.633 0.953
6 Se 0.926 0.074 0.250
7 Se 0.367 0.633 0.547
8 Se 0.074 0.926 0.750
9 Ag 0.538 0.462 0.250
10 Ag 0.462 0.538 0.750
11 Th 0.000 0.000 0.500
12 Th 0.000 0.000 0.000

Results
space-group type: No. 63

[3]
A plane-wave DFT calculation with PBE-GGA was carried out for a geometry-optimized Tl2Ag3Se4 structure.

a b c (Å): 6.989 6.989 6.575
angles (deg): 103.12 103.12 124.95
Element x y z (fractional)
1 Se 0.511 0.810 0.320
2 Se 0.810 0.511 0.320
3 Se 0.489 0.190 0.680
4 Se 0.190 0.489 0.680
5 Tl 0.852 0.148 0.000
6 Tl 0.148 0.852 0.000
7 Ag 0.500 0.500 0.000
8 Ag 0.500 0.500 0.500
9 Ag 0.000 0.000 0.500

Results
space-group type: No. 69

[4]
A plane-wave DFT calculation with PBE-GGA was carried out for a geometry-optimized TlAg3Se2 structure.

a b c (Å): 8.576 8.576 8.912
angles (deg): 114.73 114.73 29.41
Element x y z (fractional)
1 Se 0.203 0.203 0.703
2 Se 0.512 0.512 0.199
3 Se 0.797 0.797 0.297
4 Se 0.488 0.488 0.801
5 Tl 0.864 0.864 0.942
6 Tl 0.136 0.136 0.058
7 Ag 0.407 0.407 0.350
8 Ag 0.314 0.314 0.564
9 Ag 0.686 0.686 0.436
10 Ag 0.946 0.946 0.602
11 Ag 0.593 0.593 0.650
12 Ag 0.054 0.054 0.398

Results
space-group type: No. 12

Number 1: raw total energy -5.1714 eV/atom. Number 2: raw total energy -4.9012 eV/atom. Number 3: raw total energy -3.0930 eV/atom. Number 4: raw total energy -3.1468 eV/atom.